1.
# PuIn2Pt, relaxed, DFT PBE-GGA
# - E_form (meV per atom) = 58
# - Fermi-level density of states (states/eV per atom) = 2.2753
data_PuIn2Pt
_chemical_formula_sum 'Pu3 In6 Pt3'
_symmetry_space_group_name_H-M 'R -3 m'
_symmetry_Int_Tables_number 166
_symmetry_space_group_name_Hall '-R 3 2"'
_cell_length_a 3.2003
_cell_length_b 3.2003
_cell_length_c 32.1421
_cell_angle_alpha 90.00
_cell_angle_beta 90.00
_cell_angle_gamma 120.00
loop_
_atom_site_label
_atom_site_fract_x
_atom_site_fract_y
_atom_site_fract_z
_atom_site_occupancy
Pu1 0.0000 0.0000 0.0000 1
In1 0.0000 0.0000 0.0997 1
Pt1 0.0000 0.0000 0.5000 1

2.
# NaGeAsSe3, relaxed, DFT PBE-GGA
# - formation energy (no corrections) (eV/atom) = -0.423
data_NaGeAsSe3
_chemical_formula_sum 'Na2 Ge2 As2 Se6'
_symmetry_space_group_name_H-M 'P 1 21/m 1'
_symmetry_Int_Tables_number 11
_symmetry_space_group_name_Hall '-P 2yb'
_cell_length_a 7.199
_cell_length_b 3.895
_cell_length_c 11.227
_cell_angle_alpha 90.00
_cell_angle_beta 99.52
_cell_angle_gamma 90.00
loop_
_atom_site_label
_atom_site_fract_x
_atom_site_fract_y
_atom_site_fract_z
_atom_site_occupancy
Na1 0.040 0.250 0.167 1
Ge1 0.397 0.250 0.565 1
As1 0.459 0.750 0.851 1
Se1 0.208 0.750 0.642 1
Se2 0.266 0.250 0.948 1
Se3 0.349 0.750 0.249 1

3.
# NbGeTe, relaxed, DFT PBE-GGA
# - formation energy (no corrections) (eV/atom) = -0.029
# - Fermi-level density of states (states/eV per atom) = 0.9300
data_NbGeTe
_chemical_formula_sum 'Nb1 Ge1 Te1'
_symmetry_space_group_name_H-M 'P 3 m 1'
_symmetry_Int_Tables_number 156
_symmetry_space_group_name_Hall 'P 3 -2"'
_cell_length_a 3.5992
_cell_length_b 3.5992
_cell_length_c 6.2735
_cell_angle_alpha 90.00
_cell_angle_beta 90.00
_cell_angle_gamma 120.00
loop_
_atom_site_label
_atom_site_fract_x
_atom_site_fract_y
_atom_site_fract_z
_atom_site_occupancy
Nb1 0.0000 0.0000 0.0000 1
Ge1 0.3333 0.6667 0.2652 1
Te1 0.3333 0.6667 0.7063 1

4.
# NdErP2, relaxed, DFT PBE-GGA
# - E_form (meV per atom) = -1565
# - offset from the most stable computed form (meV/atom) = 0.0
# - Fermi-level density of states (states/eV per atom) = 0.1040
data_NdErP2
_chemical_formula_sum 'Nd3 Er3 P6'
_symmetry_space_group_name_H-M 'R -3 m'
_symmetry_Int_Tables_number 166
_symmetry_space_group_name_Hall '-R 3 2"'
_cell_length_a 4.0726
_cell_length_b 4.0726
_cell_length_c 19.9035
_cell_angle_alpha 90.00
_cell_angle_beta 90.00
_cell_angle_gamma 120.00
loop_
_atom_site_label
_atom_site_fract_x
_atom_site_fract_y
_atom_site_fract_z
_atom_site_occupancy
Nd1 0.0000 0.0000 0.0000 1
Er1 0.0000 0.0000 0.5000 1
P1 0.0000 0.0000 0.2460 1

These records have VASP energy values of -76.856; -47.155; -17.916; -79.226 eV/cell, in the order they appear.
These records have size of the total moment values of 6.1; 0.0; 0.0; 0.0 μB/f.u., in the order they appear.